(a)
## PaCo2Ru (PBE)

Data for PaCo2Ru after structural relaxation.

## Properties
SG: R-3m, No. 166
calculated density: 12.4 Mg/m³

```
data_PaCo2Ru
_chemical_formula_sum 'Pa1 Co2 Ru1'
_space_group_name_H-M_alt 'P 1'
_space_group_IT_number 1
_cell_length_a 4.313
_cell_length_b 4.313
_cell_length_c 4.494
_cell_angle_alpha 61.33
_cell_angle_beta 61.33
_cell_angle_gamma 60.00
loop_
_space_group_symop_operation_xyz
'x,y,z'
loop_
_atom_site_label
_atom_site_type_symbol
_atom_site_fract_x
_atom_site_fract_y
_atom_site_fract_z
Co1 Co 0.225 0.225 0.324
Co2 Co 0.775 0.775 0.676
Pa1 Pa 0.500 0.500 0.500
Ru1 Ru 0.000 0.000 0.000
```

=====

(b)
## PaCo2Ru (PBE)

Data for PaCo2Ru after structural relaxation.

## Properties
SG: P4/mmm, No. 123
calculated density: 12.6 Mg/m³

```
data_PaCo2Ru
_chemical_formula_sum 'Pa1 Co2 Ru1'
_space_group_name_H-M_alt 'P 1'
_space_group_IT_number 1
_cell_length_a 3.879
_cell_length_b 3.903
_cell_length_c 3.903
_cell_angle_alpha 90.00
_cell_angle_beta 90.00
_cell_angle_gamma 90.00
loop_
_space_group_symop_operation_xyz
'x,y,z'
loop_
_atom_site_label
_atom_site_type_symbol
_atom_site_fract_x
_atom_site_fract_y
_atom_site_fract_z
Pa1 Pa 0.500 0.500 0.500
Co1 Co 0.000 0.000 0.500
Co2 Co 0.000 0.500 0.000
Ru1 Ru 0.500 0.000 0.000
```

=====

Result of the stability comparison: (a) is the least stable of them.

=====

(a)
## PaCo2Sb (PBE)

Data for PaCo2Sb after structural relaxation.

## Properties
SG: Cmmm, No. 65
calculated density: 10.6 Mg/m³

```
data_PaCo2Sb
_chemical_formula_sum 'Pa1 Co2 Sb1'
_space_group_name_H-M_alt 'P 1'
_space_group_IT_number 1
_cell_length_a 3.354
_cell_length_b 4.842
_cell_length_c 4.842
_cell_angle_alpha 109.71
_cell_angle_beta 90.00
_cell_angle_gamma 90.00
loop_
_space_group_symop_operation_xyz
'x,y,z'
loop_
_atom_site_label
_atom_site_type_symbol
_atom_site_fract_x
_atom_site_fract_y
_atom_site_fract_z
Sb1 Sb 0.500 0.500 0.500
Co1 Co 0.500 0.500 0.000
Co2 Co 0.500 0.000 0.500
Pa1 Pa 0.000 0.000 0.000
```

=====

(b)
## PaCo2Sb (PBE)

Data for PaCo2Sb after structural relaxation.

## Properties
SG: R-3m, No. 166
calculated density: 10.8 Mg/m³

```
data_PaCo2Sb
_chemical_formula_sum 'Pa1 Co2 Sb1'
_space_group_name_H-M_alt 'P 1'
_space_group_IT_number 1
_cell_length_a 4.569
_cell_length_b 4.569
_cell_length_c 4.795
_cell_angle_alpha 61.55
_cell_angle_beta 61.55
_cell_angle_gamma 60.00
loop_
_space_group_symop_operation_xyz
'x,y,z'
loop_
_atom_site_label
_atom_site_type_symbol
_atom_site_fract_x
_atom_site_fract_y
_atom_site_fract_z
Pa1 Pa 0.000 0.000 0.000
Co1 Co 0.807 0.807 0.580
Sb1 Sb 0.500 0.500 0.500
Co2 Co 0.193 0.193 0.420
```

=====

Result of the stability comparison: (a) is the least stable of them.

=====

(a)
## ScPaCo2 (PBE)

Data for ScPaCo2 after structural relaxation.

## Properties
SG: P4/mmm, No. 123
calculated density: 9.7 Mg/m³

```
data_ScPaCo2
_chemical_formula_sum 'Sc1 Pa1 Co2'
_space_group_name_H-M_alt 'P 1'
_space_group_IT_number 1
_cell_length_a 3.203
_cell_length_b 4.579
_cell_length_c 4.579
_cell_angle_alpha 90.00
_cell_angle_beta 90.00
_cell_angle_gamma 90.00
loop_
_space_group_symop_operation_xyz
'x,y,z'
loop_
_atom_site_label
_atom_site_type_symbol
_atom_site_fract_x
_atom_site_fract_y
_atom_site_fract_z
Pa1 Pa 0.500 0.000 0.000
Co1 Co 0.000 0.000 0.500
Co2 Co 0.000 0.500 0.000
Sc1 Sc 0.500 0.500 0.500
```

=====

(b)
## ScPaCo2 (PBE)

Data for ScPaCo2 after structural relaxation.

## Properties
SG: R-3m, No. 166
calculated density: 9.4 Mg/m³

```
data_ScPaCo2
_chemical_formula_sum 'Sc1 Pa1 Co2'
_space_group_name_H-M_alt 'P 1'
_space_group_IT_number 1
_cell_length_a 4.675
_cell_length_b 4.675
_cell_length_c 4.563
_cell_angle_alpha 59.18
_cell_angle_beta 59.18
_cell_angle_gamma 60.00
loop_
_space_group_symop_operation_xyz
'x,y,z'
loop_
_atom_site_label
_atom_site_type_symbol
_atom_site_fract_x
_atom_site_fract_y
_atom_site_fract_z
Pa1 Pa 0.000 0.000 0.000
Sc1 Sc 0.500 0.500 0.500
Co1 Co 0.213 0.213 0.362
Co2 Co 0.787 0.787 0.638
```

=====

(c)
## ScPaCo2 (PBE)

Data for ScPaCo2 after structural relaxation.

## Properties
SG: Amm2, No. 38
calculated density: 9.6 Mg/m³

```
data_ScPaCo2
_chemical_formula_sum 'Sc1 Pa1 Co2'
_space_group_name_H-M_alt 'P 1'
_space_group_IT_number 1
_cell_length_a 3.473
_cell_length_b 4.084
_cell_length_c 5.090
_cell_angle_alpha 90.00
_cell_angle_beta 109.96
_cell_angle_gamma 90.00
loop_
_space_group_symop_operation_xyz
'x,y,z'
loop_
_atom_site_label
_atom_site_type_symbol
_atom_site_fract_x
_atom_site_fract_y
_atom_site_fract_z
Co1 Co 0.173 0.500 0.885
Pa1 Pa 0.440 0.500 0.418
Co2 Co 0.998 0.000 0.534
Sc1 Sc 0.721 0.000 0.981
```

=====

Result of the stability comparison: (a) is the least stable of them.

=====

(a)
## Pa2CoSe (PBE)

Data for Pa2CoSe after structural relaxation.

## Properties
SG: C2/m, No. 12
calculated density: 11.2 Mg/m³

```
data_Pa2CoSe
_chemical_formula_sum 'Pa2 Co1 Se1'
_space_group_name_H-M_alt 'P 1'
_space_group_IT_number 1
_cell_length_a 3.927
_cell_length_b 3.927
_cell_length_c 7.300
_cell_angle_alpha 73.68
_cell_angle_beta 73.68
_cell_angle_gamma 56.78
loop_
_space_group_symop_operation_xyz
'x,y,z'
loop_
_atom_site_label
_atom_site_type_symbol
_atom_site_fract_x
_atom_site_fract_y
_atom_site_fract_z
Co1 Co 0.000 0.000 0.000
Se1 Se 0.500 0.500 0.500
Pa1 Pa 0.732 0.732 0.785
Pa2 Pa 0.268 0.268 0.215
```

=====

(b)
## Pa2CoSe (PBE)

Data for Pa2CoSe after structural relaxation.

## Properties
SG: R3m, No. 160
calculated density: 11.2 Mg/m³

```
data_Pa2CoSe
_chemical_formula_sum 'Pa2 Co1 Se1'
_space_group_name_H-M_alt 'P 1'
_space_group_IT_number 1
_cell_length_a 3.750
_cell_length_b 3.750
_cell_length_c 7.646
_cell_angle_alpha 75.80
_cell_angle_beta 75.80
_cell_angle_gamma 60.00
loop_
_space_group_symop_operation_xyz
'x,y,z'
loop_
_atom_site_label
_atom_site_type_symbol
_atom_site_fract_x
_atom_site_fract_y
_atom_site_fract_z
Pa1 Pa 0.262 0.262 0.215
Se1 Se 0.500 0.500 0.501
Pa2 Pa 0.070 0.070 0.789
Co1 Co 0.668 0.668 0.995
```

=====

(c)
## Pa2CoSe (PBE)

Data for Pa2CoSe after structural relaxation.

## Properties
SG: R-3m, No. 166
calculated density: 11.5 Mg/m³

```
data_Pa2CoSe
_chemical_formula_sum 'Pa2 Co1 Se1'
_space_group_name_H-M_alt 'P 1'
_space_group_IT_number 1
_cell_length_a 3.318
_cell_length_b 3.318
_cell_length_c 9.307
_cell_angle_alpha 79.73
_cell_angle_beta 79.73
_cell_angle_gamma 60.00
loop_
_space_group_symop_operation_xyz
'x,y,z'
loop_
_atom_site_label
_atom_site_type_symbol
_atom_site_fract_x
_atom_site_fract_y
_atom_site_fract_z
Pa1 Pa 0.915 0.915 0.256
Pa2 Pa 0.085 0.085 0.744
Se1 Se 0.500 0.500 0.500
Co1 Co 0.000 0.000 0.000
```

=====

Result of the stability comparison: (c) is the least stable of them.

=====

(a)
## Pa3Co2Si4 (PBE)

Data for Pa3Co2Si4 after structural relaxation.

## Properties
SG: C2/m, No. 12
calculated density: 9.7 Mg/m³

```
data_Pa3Co2Si4
_chemical_formula_sum 'Pa3 Co2 Si4'
_space_group_name_H-M_alt 'P 1'
_space_group_IT_number 1
_cell_length_a 4.028
_cell_length_b 5.598
_cell_length_c 7.864
_cell_angle_alpha 105.98
_cell_angle_beta 90.00
_cell_angle_gamma 111.09
loop_
_space_group_symop_operation_xyz
'x,y,z'
loop_
_atom_site_label
_atom_site_type_symbol
_atom_site_fract_x
_atom_site_fract_y
_atom_site_fract_z
Co1 Co 0.698 0.396 0.364
Si1 Si 0.098 0.197 0.396
Si2 Si 0.902 0.803 0.604
Pa1 Pa 0.619 0.237 0.687
Co2 Co 0.302 0.604 0.636
Si3 Si 0.278 0.557 0.924
Pa2 Pa 0.381 0.763 0.313
Si4 Si 0.722 0.443 0.076
Pa3 Pa 0.000 0.000 0.000
```

=====

(b)
## Pa3Co2Si4 (PBE)

Data for Pa3Co2Si4 after structural relaxation.

## Properties
SG: C2/m, No. 12
calculated density: 9.5 Mg/m³

```
data_Pa3Co2Si4
_chemical_formula_sum 'Pa3 Co2 Si4'
_space_group_name_H-M_alt 'P 1'
_space_group_IT_number 1
_cell_length_a 4.028
_cell_length_b 5.588
_cell_length_c 7.847
_cell_angle_alpha 101.21
_cell_angle_beta 90.00
_cell_angle_gamma 111.13
loop_
_space_group_symop_operation_xyz
'x,y,z'
loop_
_atom_site_label
_atom_site_type_symbol
_atom_site_fract_x
_atom_site_fract_y
_atom_site_fract_z
Pa1 Pa 0.666 0.332 0.661
Si1 Si 0.721 0.441 0.064
Pa2 Pa 0.334 0.668 0.339
Si2 Si 0.056 0.111 0.383
Pa3 Pa 0.000 0.000 0.000
Si3 Si 0.279 0.559 0.936
Co1 Co 0.608 0.216 0.284
Co2 Co 0.392 0.784 0.716
Si4 Si 0.944 0.889 0.617
```

=====

Result of the stability comparison: (a) is the least stable of them.

=====

(a)
## Pa3Co3Si2 (PBE)

Data for Pa3Co3Si2 after structural relaxation.

## Properties
SG: Pnma, No. 62
calculated density: 11.0 Mg/m³

```
data_Pa3Co3Si2
_chemical_formula_sum 'Pa12 Co12 Si8'
_space_group_name_H-M_alt 'P 1'
_space_group_IT_number 1
_cell_length_a 5.875
_cell_length_b 7.438
_cell_length_c 12.745
_cell_angle_alpha 90.00
_cell_angle_beta 90.00
_cell_angle_gamma 90.00
loop_
_space_group_symop_operation_xyz
'x,y,z'
loop_
_atom_site_label
_atom_site_type_symbol
_atom_site_fract_x
_atom_site_fract_y
_atom_site_fract_z
Si1 Si 0.111 0.811 0.590
Co1 Co 0.388 0.613 0.554
Pa1 Pa 0.867 0.456 0.610
Co2 Co 0.110 0.241 0.250
Co3 Co 0.390 0.741 0.250
Co4 Co 0.610 0.259 0.750
Pa2 Pa 0.620 0.394 0.250
Pa3 Pa 0.633 0.956 0.890
Pa4 Pa 0.633 0.956 0.610
Si2 Si 0.889 0.189 0.410
Pa5 Pa 0.880 0.894 0.250
Pa6 Pa 0.367 0.044 0.390
Co5 Co 0.888 0.887 0.446
Co6 Co 0.888 0.887 0.054
Pa7 Pa 0.133 0.544 0.390
Co7 Co 0.112 0.113 0.554
Co8 Co 0.612 0.387 0.446
Si3 Si 0.111 0.811 0.910
Pa8 Pa 0.367 0.044 0.110
Pa9 Pa 0.380 0.606 0.750
Pa10 Pa 0.133 0.544 0.110
Co9 Co 0.612 0.387 0.054
Si4 Si 0.389 0.311 0.910
Pa11 Pa 0.867 0.456 0.890
Co10 Co 0.388 0.613 0.946
Co11 Co 0.112 0.113 0.946
Si5 Si 0.389 0.311 0.590
Pa12 Pa 0.120 0.106 0.750
Si6 Si 0.611 0.689 0.090
Si7 Si 0.611 0.689 0.410
Si8 Si 0.889 0.189 0.090
Co12 Co 0.890 0.759 0.750
```

=====

(b)
## Pa3Co3Si2 (PBE)

Data for Pa3Co3Si2 after structural relaxation.

## Properties
SG: Cmcm, No. 63
calculated density: 11.3 Mg/m³

```
data_Pa3Co3Si2
_chemical_formula_sum 'Pa6 Co6 Si4'
_space_group_name_H-M_alt 'P 1'
_space_group_IT_number 1
_cell_length_a 4.040
_cell_length_b 5.643
_cell_length_c 12.735
_cell_angle_alpha 90.00
_cell_angle_beta 90.00
_cell_angle_gamma 110.97
loop_
_space_group_symop_operation_xyz
'x,y,z'
loop_
_atom_site_label
_atom_site_type_symbol
_atom_site_fract_x
_atom_site_fract_y
_atom_site_fract_z
Co1 Co 0.616 0.232 0.451
Pa1 Pa 0.639 0.279 0.250
Pa2 Pa 0.931 0.861 0.109
Co2 Co 0.384 0.768 0.951
Co3 Co 0.659 0.319 0.750
Si1 Si 0.221 0.442 0.089
Si2 Si 0.779 0.558 0.589
Si3 Si 0.779 0.558 0.911
Co4 Co 0.341 0.681 0.250
Pa3 Pa 0.931 0.861 0.391
Co5 Co 0.616 0.232 0.049
Si4 Si 0.221 0.442 0.411
Pa4 Pa 0.069 0.139 0.891
Co6 Co 0.384 0.768 0.549
Pa5 Pa 0.069 0.139 0.609
Pa6 Pa 0.361 0.721 0.750
```

=====

Result of the stability comparison: (b) is the least stable of them.

=====

(a)
## Pa2TaCo9 (PBE)

Data for Pa2TaCo9 after structural relaxation.

## Properties
SG: P4/mmm, No. 123
calculated density: 12.3 Mg/m³

```
data_Pa2TaCo9
_chemical_formula_sum 'Pa2 Ta1 Co9'
_space_group_name_H-M_alt 'P 1'
_space_group_IT_number 1
_cell_length_a 3.767
_cell_length_b 3.767
_cell_length_c 11.183
_cell_angle_alpha 90.00
_cell_angle_beta 90.00
_cell_angle_gamma 90.00
loop_
_space_group_symop_operation_xyz
'x,y,z'
loop_
_atom_site_label
_atom_site_type_symbol
_atom_site_fract_x
_atom_site_fract_y
_atom_site_fract_z
Co1 Co 0.500 0.000 0.500
Co2 Co 0.500 0.500 0.328
Co3 Co 0.500 0.000 0.844
Co4 Co 0.500 0.000 0.156
Co5 Co 0.500 0.500 0.000
Pa1 Pa 0.000 0.000 0.672
Pa2 Pa 0.000 0.000 0.328
Co6 Co 0.000 0.500 0.500
Co7 Co 0.000 0.500 0.156
Co8 Co 0.000 0.500 0.844
Ta1 Ta 0.000 0.000 0.000
Co9 Co 0.500 0.500 0.672
```

=====

(b)
## Pa2TaCo9 (PBE)

Data for Pa2TaCo9 after structural relaxation.

## Properties
SG: R-3m, No. 166
calculated density: 12.3 Mg/m³

```
data_Pa2TaCo9
_chemical_formula_sum 'Pa2 Ta1 Co9'
_space_group_name_H-M_alt 'P 1'
_space_group_IT_number 1
_cell_length_a 4.768
_cell_length_b 4.768
_cell_length_c 8.532
_cell_angle_alpha 73.78
_cell_angle_beta 73.78
_cell_angle_gamma 60.00
loop_
_space_group_symop_operation_xyz
'x,y,z'
loop_
_atom_site_label
_atom_site_type_symbol
_atom_site_fract_x
_atom_site_fract_y
_atom_site_fract_z
Co1 Co 0.580 0.580 0.762
Co2 Co 0.667 0.667 0.000
Co3 Co 0.580 0.078 0.762
Co4 Co 0.333 0.333 0.000
Pa1 Pa 0.135 0.135 0.594
Ta1 Ta 0.000 0.000 0.000
Co5 Co 0.420 0.420 0.238
Co6 Co 0.420 0.922 0.238
Co7 Co 0.500 0.500 0.500
Co8 Co 0.922 0.420 0.238
Pa2 Pa 0.865 0.865 0.406
Co9 Co 0.078 0.580 0.762
```

=====

Result of the stability comparison: (b) is the least stable of them.

=====

(a)
## TbPaCo2 (PBE)

Data for TbPaCo2 after structural relaxation.

## Properties
SG: R-3m, No. 166
calculated density: 10.7 Mg/m³

```
data_TbPaCo2
_chemical_formula_sum 'Tb1 Pa1 Co2'
_space_group_name_H-M_alt 'P 1'
_space_group_IT_number 1
_cell_length_a 3.716
_cell_length_b 3.716
_cell_length_c 6.959
_cell_angle_alpha 74.52
_cell_angle_beta 74.52
_cell_angle_gamma 60.00
loop_
_space_group_symop_operation_xyz
'x,y,z'
loop_
_atom_site_label
_atom_site_type_symbol
_atom_site_fract_x
_atom_site_fract_y
_atom_site_fract_z
Co1 Co 0.259 0.259 0.223
Co2 Co 0.741 0.741 0.777
Tb1 Tb 0.500 0.500 0.500
Pa1 Pa 0.000 0.000 0.000
```

=====

(b)
## TbPaCo2 (PBE)

Data for TbPaCo2 after structural relaxation.

## Properties
SG: P2_1/m, No. 11
calculated density: 11.2 Mg/m³

```
data_TbPaCo2
_chemical_formula_sum 'Tb2 Pa2 Co4'
_space_group_name_H-M_alt 'P 1'
_space_group_IT_number 1
_cell_length_a 4.297
_cell_length_b 5.182
_cell_length_c 7.176
_cell_angle_alpha 109.21
_cell_angle_beta 90.00
_cell_angle_gamma 90.00
loop_
_space_group_symop_operation_xyz
'x,y,z'
loop_
_atom_site_label
_atom_site_type_symbol
_atom_site_fract_x
_atom_site_fract_y
_atom_site_fract_z
Co1 Co 0.750 0.162 0.734
Co2 Co 0.250 0.838 0.266
Tb1 Tb 0.250 0.259 0.065
Pa1 Pa 0.750 0.702 0.414
Co3 Co 0.750 0.191 0.353
Pa2 Pa 0.250 0.298 0.586
Tb2 Tb 0.750 0.741 0.935
Co4 Co 0.250 0.809 0.647
```

=====

(c)
## TbPaCo2 (PBE)

Data for TbPaCo2 after structural relaxation.

## Properties
SG: R3m, No. 160
calculated density: 10.6 Mg/m³

```
data_TbPaCo2
_chemical_formula_sum 'Tb1 Pa1 Co2'
_space_group_name_H-M_alt 'P 1'
_space_group_IT_number 1
_cell_length_a 3.657
_cell_length_b 3.657
_cell_length_c 7.187
_cell_angle_alpha 75.26
_cell_angle_beta 75.26
_cell_angle_gamma 60.00
loop_
_space_group_symop_operation_xyz
'x,y,z'
loop_
_atom_site_label
_atom_site_type_symbol
_atom_site_fract_x
_atom_site_fract_y
_atom_site_fract_z
Co1 Co 0.075 0.075 0.776
Pa1 Pa 0.669 0.669 0.994
Tb1 Tb 0.497 0.497 0.509
Co2 Co 0.259 0.259 0.222
```

=====

Result of the stability comparison: (c) is the least stable of them.